(1)
{
  "formula": "NaCeC2O6",
  "functional": "PBEsol",
  "state": "optimized geometry",
  "space_group": "Pmc2_1 (26)",
  "dft_energy_ev_per_fu": -79.5,
  "raw_formation_energy_ev_per_atom": -2.074,
  "cell": [[5.142, 0.000, 0.000], [0.000, 6.374, 0.000], [0.000, 0.000, 7.060]],
  "species": ["Na", "Na", "Ce", "Ce", "C", "C", "C", "C", "O", "O", "O", "O", "O", "O", "O", "O", "O", "O", "O", "O"],
  "frac_coords": [[0.000, 0.019, 0.000], [0.000, 0.981, 0.500], [0.500, 0.367, 0.295], [0.500, 0.633, 0.795], [0.000, 0.468, 0.966], [0.000, 0.532, 0.466], [0.500, 0.084, 0.714], [0.500, 0.916, 0.214], [0.000, 0.354, 0.379], [0.000, 0.646, 0.879], [0.221, 0.379, 0.003], [0.221, 0.621, 0.503], [0.286, 0.013, 0.252], [0.286, 0.987, 0.752], [0.500, 0.268, 0.634], [0.500, 0.732, 0.134], [0.714, 0.013, 0.252], [0.714, 0.987, 0.752], [0.779, 0.379, 0.003], [0.779, 0.621, 0.503]]
}

---

(2)
{
  "formula": "Na2CePCO7",
  "functional": "PBEsol",
  "state": "optimized geometry",
  "space_group": "P2_1/m (11)",
  "dft_energy_ev_per_fu": -89.1,
  "raw_formation_energy_ev_per_atom": -2.291,
  "cell": [[5.176, 0.000, 0.000], [0.000, 7.053, 0.000], [-0.018, 0.000, 9.376]],
  "species": ["Na", "Na", "Na", "Na", "Ce", "Ce", "P", "P", "C", "C", "O", "O", "O", "O", "O", "O", "O", "O", "O", "O", "O", "O", "O", "O"],
  "frac_coords": [[0.242, 0.008, 0.198], [0.242, 0.492, 0.198], [0.758, 0.508, 0.802], [0.758, 0.992, 0.802], [0.292, 0.250, 0.595], [0.708, 0.750, 0.405], [0.215, 0.750, 0.594], [0.785, 0.250, 0.406], [0.267, 0.250, 0.902], [0.733, 0.750, 0.098], [0.064, 0.250, 0.817], [0.069, 0.250, 0.356], [0.205, 0.750, 0.427], [0.247, 0.250, 0.036], [0.369, 0.573, 0.642], [0.369, 0.927, 0.642], [0.489, 0.250, 0.835], [0.511, 0.750, 0.165], [0.631, 0.073, 0.358], [0.631, 0.427, 0.358], [0.753, 0.750, 0.964], [0.795, 0.250, 0.573], [0.931, 0.750, 0.644], [0.936, 0.750, 0.183]]
}

---

(3)
{
  "formula": "CeNdC4",
  "functional": "PBEsol",
  "state": "optimized geometry",
  "space_group": "P4/mmm (123)",
  "formation_enthalpy_0k_ev_per_atom": -0.101,
  "dft_energy_ev_per_fu": -50.9,
  "cell": [[3.750, 0.000, 0.000], [0.000, 3.750, 0.000], [0.000, 0.000, 6.344]],
  "species": ["Ce", "Nd", "C", "C", "C", "C"],
  "frac_coords": [[0.000, 0.000, 0.000], [0.500, 0.500, 0.500], [0.000, 0.000, 0.397], [0.000, 0.000, 0.603], [0.500, 0.500, 0.103], [0.500, 0.500, 0.897]]
}

---

(4)
{
  "formula": "CeNiC2",
  "functional": "PBEsol",
  "state": "optimized geometry",
  "space_group": "Amm2 (38)",
  "formation_enthalpy_0k_ev_per_atom": -0.252,
  "dft_energy_ev_per_fu": -33.0,
  "cell": [[3.760, 0.000, 0.000], [0.000, 4.499, 0.000], [0.000, 0.000, 5.910]],
  "species": ["Ce", "Ce", "Ni", "Ni", "C", "C", "C", "C"],
  "frac_coords": [[0.000, 0.000, 0.000], [0.000, 0.500, 0.500], [0.500, 0.000, 0.397], [0.500, 0.500, 0.897], [0.500, 0.155, 0.708], [0.500, 0.345, 0.208], [0.500, 0.655, 0.208], [0.500, 0.845, 0.708]]
}

---

(5)
{
  "formula": "Sr3CePC3O13",
  "functional": "PBEsol",
  "state": "optimized geometry",
  "space_group": "R3m (160)",
  "dft_energy_ev_per_fu": -167.1,
  "raw_formation_energy_ev_per_atom": -2.477,
  "cell": [[5.019, 2.898, 3.059], [-5.019, 2.898, 3.059], [0.000, -5.796, 3.059]],
  "species": ["Sr", "Sr", "Sr", "Ce", "P", "C", "C", "C", "O", "O", "O", "O", "O", "O", "O", "O", "O", "O", "O", "O", "O"],
  "frac_coords": [[0.035, 0.483, 0.483], [0.483, 0.035, 0.483], [0.483, 0.483, 0.035], [0.958, 0.958, 0.958], [0.534, 0.534, 0.534], [0.025, 0.025, 0.525], [0.025, 0.525, 0.025], [0.525, 0.025, 0.025], [0.069, 0.069, 0.351], [0.069, 0.351, 0.069], [0.119, 0.617, 0.896], [0.119, 0.896, 0.617], [0.351, 0.069, 0.069], [0.392, 0.392, 0.642], [0.392, 0.642, 0.392], [0.617, 0.119, 0.896], [0.617, 0.896, 0.119], [0.642, 0.392, 0.392], [0.701, 0.701, 0.701], [0.896, 0.119, 0.617], [0.896, 0.617, 0.119]]
}

---

(6)
{
  "formula": "CePRu2C",
  "functional": "PBEsol",
  "state": "optimized geometry",
  "space_group": "Cmcm (63)",
  "formation_enthalpy_0k_ev_per_atom": -0.662,
  "dft_energy_ev_per_fu": -45.7,
  "cell": [[1.909, -5.478, 0.000], [1.909, 5.478, 0.000], [0.000, 0.000, 6.996]],
  "species": ["Ce", "Ce", "P", "P", "Ru", "Ru", "Ru", "Ru", "C", "C"],
  "frac_coords": [[0.049, 0.951, 0.750], [0.951, 0.049, 0.250], [0.227, 0.773, 0.250], [0.773, 0.227, 0.750], [0.333, 0.667, 0.554], [0.333, 0.667, 0.946], [0.667, 0.333, 0.054], [0.667, 0.333, 0.446], [0.500, 0.500, 0.000], [0.500, 0.500, 0.500]]
}

---

(7)
{
  "formula": "CeRe2SiC",
  "functional": "PBEsol",
  "state": "optimized geometry",
  "space_group": "Cmcm (63)",
  "dft_energy_ev_per_fu": -50.9,
  "raw_formation_energy_ev_per_atom": -0.440,
  "cell": [[1.973, -5.439, 0.000], [1.973, 5.439, 0.000], [0.000, 0.000, 7.284]],
  "species": ["Ce", "Ce", "Re", "Re", "Re", "Re", "Si", "Si", "C", "C"],
  "frac_coords": [[0.043, 0.957, 0.750], [0.957, 0.043, 0.250], [0.326, 0.674, 0.562], [0.326, 0.674, 0.938], [0.674, 0.326, 0.062], [0.674, 0.326, 0.438], [0.236, 0.764, 0.250], [0.764, 0.236, 0.750], [0.500, 0.500, 0.000], [0.500, 0.500, 0.500]]
}

---

(8)
{
  "formula": "CoH2CCl",
  "functional": "PBEsol",
  "state": "optimized geometry",
  "space_group": "P4/mmm (123)",
  "dft_energy_ev_per_fu": -19.0,
  "cell": [[3.153, 0.000, 0.000], [0.000, 3.153, 0.000], [0.000, 0.000, 4.470]],
  "species": ["Co", "H", "H", "C", "Cl"],
  "frac_coords": [[0.000, 0.000, 0.000], [0.000, 0.500, 0.000], [0.500, 0.000, 0.000], [0.500, 0.500, 0.500], [0.000, 0.000, 0.500]]
}

---

(9)
{
  "formula": "CoH18C4N8Cl4O4",
  "functional": "PBEsol",
  "state": "optimized geometry",
  "space_group": "P2_1/c (14)",
  "dft_energy_ev_per_fu": -227.2,
  "cell": [[6.220, 0.000, 0.000], [0.000, 11.098, 0.000], [-3.521, 0.000, 11.284]],
  "species": ["Co", "Co", "H", "H", "H", "H", "H", "H", "H", "H", "H", "H", "H", "H", "H", "H", "H", "H", "H", "H", "H", "H", "H", "H", "H", "H", "H", "H", "H", "H", "H", "H", "H", "H", "H", "H", "H", "H", "C", "C", "C", "C", "C", "C", "C", "C", "N", "N", "N", "N", "N", "N", "N", "N", "N", "N", "N", "N", "N", "N", "N", "N", "Cl", "Cl", "Cl", "Cl", "Cl", "Cl", "Cl", "Cl", "O", "O", "O", "O", "O", "O", "O", "O"],
  "frac_coords": [[0.000, 0.000, 0.000], [0.000, 0.500, 0.500], [0.129, 0.004, 0.758], [0.129, 0.496, 0.258], [0.184, 0.684, 0.318], [0.184, 0.816, 0.818], [0.198, 0.699, 0.717], [0.198, 0.801, 0.217], [0.214, 0.716, 0.509], [0.214, 0.784, 0.009], [0.229, 0.196, 0.772], [0.229, 0.304, 0.272], [0.256, 0.226, 0.145], [0.256, 0.274, 0.645], [0.288, 0.504, 0.997], [0.288, 0.996, 0.497], [0.319, 0.158, 0.492], [0.319, 0.342, 0.992], [0.370, 0.608, 0.493], [0.370, 0.892, 0.993], [0.630, 0.108, 0.007], [0.630, 0.392, 0.507], [0.681, 0.658, 0.008], [0.681, 0.842, 0.508], [0.712, 0.004, 0.503], [0.712, 0.496, 0.003], [0.744, 0.726, 0.355], [0.744, 0.774, 0.855], [0.771, 0.696, 0.728], [0.771, 0.804, 0.228], [0.786, 0.216, 0.991], [0.786, 0.284, 0.491], [0.802, 0.199, 0.783], [0.802, 0.301, 0.283], [0.816, 0.184, 0.182], [0.816, 0.316, 0.682], [0.871, 0.504, 0.742], [0.871, 0.996, 0.242], [0.218, 0.629, 0.158], [0.218, 0.871, 0.658], [0.246, 0.089, 0.635], [0.246, 0.411, 0.135], [0.754, 0.589, 0.865], [0.754, 0.911, 0.365], [0.782, 0.129, 0.342], [0.782, 0.371, 0.842], [0.195, 0.710, 0.236], [0.195, 0.790, 0.736], [0.204, 0.511, 0.191], [0.204, 0.989, 0.691], [0.234, 0.195, 0.686], [0.234, 0.305, 0.186], [0.295, 0.081, 0.533], [0.295, 0.419, 0.033], [0.705, 0.581, 0.967], [0.705, 0.919, 0.467], [0.766, 0.695, 0.814], [0.766, 0.805, 0.314], [0.796, 0.011, 0.309], [0.796, 0.489, 0.809], [0.805, 0.210, 0.264], [0.805, 0.290, 0.764], [0.205, 0.000, 0.204], [0.205, 0.500, 0.704], [0.274, 0.141, 0.959], [0.274, 0.359, 0.459], [0.726, 0.641, 0.541], [0.726, 0.859, 0.041], [0.795, 0.000, 0.796], [0.795, 0.500, 0.296], [0.209, 0.633, 0.469], [0.209, 0.867, 0.969], [0.249, 0.654, 0.059], [0.249, 0.846, 0.559], [0.751, 0.154, 0.441], [0.751, 0.346, 0.941], [0.791, 0.133, 0.031], [0.791, 0.367, 0.531]]
}

---

(10)
{
  "formula": "CoH5CNCl2O2",
  "functional": "PBEsol",
  "state": "optimized geometry",
  "space_group": "C2/c (15)",
  "dft_energy_ev_per_fu": -65.4,
  "cell": [[3.886, -5.576, 0.000], [3.886, 5.576, 0.000], [-1.524, 0.000, 6.428]],
  "species": ["Co", "Co", "H", "H", "H", "H", "H", "H", "H", "H", "H", "H", "C", "C", "N", "N", "Cl", "Cl", "Cl", "Cl", "O", "O", "O", "O"],
  "frac_coords": [[0.000, 0.000, 0.000], [0.000, 0.000, 0.500], [0.262, 0.712, 0.118], [0.276, 0.505, 0.238], [0.288, 0.738, 0.382], [0.328, 0.672, 0.750], [0.495, 0.724, 0.262], [0.505, 0.276, 0.738], [0.672, 0.328, 0.250], [0.712, 0.262, 0.618], [0.724, 0.495, 0.762], [0.738, 0.288, 0.882], [0.228, 0.772, 0.750], [0.772, 0.228, 0.250], [0.330, 0.670, 0.250], [0.670, 0.330, 0.750], [0.178, 0.263, 0.809], [0.263, 0.178, 0.309], [0.737, 0.822, 0.691], [0.822, 0.737, 0.191], [0.170, 0.815, 0.920], [0.185, 0.830, 0.580], [0.815, 0.170, 0.420], [0.830, 0.185, 0.080]]
}

---

(11)
{
  "formula": "CrCS2Cl",
  "functional": "PBEsol",
  "state": "optimized geometry",
  "space_group": "P4/mmm (123)",
  "dft_energy_ev_per_fu": -25.5,
  "raw_formation_energy_ev_per_atom": 1.023,
  "cell": [[4.145, 0.000, 0.000], [0.000, 4.145, 0.000], [0.000, 0.000, 4.104]],
  "species": ["Cr", "C", "S", "S", "Cl"],
  "frac_coords": [[0.000, 0.000, 0.000], [0.500, 0.500, 0.500], [0.000, 0.500, 0.500], [0.500, 0.000, 0.500], [0.500, 0.500, 0.000]]
}

---

(12)
{
  "formula": "CsOsC3Cl3O3",
  "functional": "PBEsol",
  "state": "optimized geometry",
  "space_group": "P2_1/c (14)",
  "dft_energy_ev_per_fu": -74.5,
  "raw_formation_energy_ev_per_atom": -0.967,
  "cell": [[10.138, 0.000, 0.000], [0.000, 9.289, 0.000], [-0.355, 0.000, 11.119]],
  "species": ["Cs", "Cs", "Cs", "Cs", "Os", "Os", "Os", "Os", "C", "C", "C", "C", "C", "C", "C", "C", "C", "C", "C", "C", "Cl", "Cl", "Cl", "Cl", "Cl", "Cl", "Cl", "Cl", "Cl", "Cl", "Cl", "Cl", "O", "O", "O", "O", "O", "O", "O", "O", "O", "O", "O", "O"],
  "frac_coords": [[0.121, 0.245, 0.047], [0.121, 0.255, 0.547], [0.879, 0.745, 0.453], [0.879, 0.755, 0.953], [0.284, 0.615, 0.287], [0.284, 0.885, 0.787], [0.716, 0.115, 0.213], [0.716, 0.385, 0.713], [0.263, 0.683, 0.784], [0.263, 0.817, 0.284], [0.354, 0.612, 0.132], [0.354, 0.888, 0.632], [0.453, 0.628, 0.361], [0.453, 0.872, 0.861], [0.547, 0.128, 0.139], [0.547, 0.372, 0.639], [0.646, 0.112, 0.368], [0.646, 0.388, 0.868], [0.737, 0.183, 0.716], [0.737, 0.317, 0.216], [0.062, 0.582, 0.202], [0.062, 0.918, 0.702], [0.188, 0.609, 0.483], [0.188, 0.891, 0.983], [0.303, 0.145, 0.797], [0.303, 0.355, 0.297], [0.697, 0.645, 0.703], [0.697, 0.855, 0.203], [0.812, 0.109, 0.017], [0.812, 0.391, 0.517], [0.938, 0.082, 0.298], [0.938, 0.418, 0.798], [0.252, 0.559, 0.785], [0.252, 0.941, 0.285], [0.399, 0.607, 0.038], [0.399, 0.893, 0.538], [0.443, 0.134, 0.093], [0.443, 0.366, 0.593], [0.557, 0.634, 0.407], [0.557, 0.866, 0.907], [0.601, 0.107, 0.462], [0.601, 0.393, 0.962], [0.748, 0.059, 0.715], [0.748, 0.441, 0.215]]
}